Entry 1:
An optimized crystal structure of Zr3NbPt. Source: Alexandria via LeMat-Bulk, functional PBE-GGA.

Cell and atoms, written as POSCAR:
```
Zr3NbPt
1.0
-3.7640 -3.2006 -1.0823
1.5946 -0.2543 -4.7933
2.9787 -3.9083 1.1983
Zr Pt Nb
3 1 1
direct
0.5000 0.0000 0.0000
0.0000 0.5000 0.0000
0.0000 0.0000 0.5000
0.0000 0.0000 0.0000
0.5000 0.5000 0.5000
```

## Properties
* SG: No. 221
* magnetic moment: 1.4 μB per formula unit
* electronic total energy: -7.8127 eV per atom
* energy relative to the lowest polymorph listed for this composition: 0.0000 eV per atom
* ΔE_f: 0.538 eV/atom

---

Entry 2:
An optimized crystal structure of ZrNbPt2. Source: Alexandria via LeMat-Bulk, functional PBE-GGA.

Cell and atoms, written as POSCAR:
```
ZrNbPt2
1.0
-0.7726 -7.2592 -1.0929
-0.3000 -1.0668 7.2979
-3.3173 -3.8566 3.0330
Pt Nb Zr
4 2 2
direct
0.6385 0.1250 0.2500
0.3750 0.3615 0.7500
0.8750 0.8885 0.7500
0.1115 0.6250 0.2500
0.0000 0.0000 0.0000
0.7500 0.2500 0.5000
0.2500 0.7500 0.5000
0.5000 0.5000 0.0000
```

## Properties
* SG: No. 122
* magnetic moment: 0.0 μB per formula unit
* electronic total energy: -8.0097 eV per atom
* ΔE_f: -0.335 eV/atom